1.
# TbEr2Cu2, relaxed, DFT PBE-GGA
data_TbEr2Cu2
_chemical_formula_sum 'Tb2 Er4 Cu4'
_cell_length_a 3.4824
_cell_length_b 5.0473
_cell_length_c 13.0023
_cell_angle_alpha 90.00
_cell_angle_beta 97.68
_cell_angle_gamma 90.00
_symmetry_space_group_name_H-M 'P 1'
_symmetry_Int_Tables_number 1
loop_
_symmetry_equiv_pos_as_xyz
'x,y,z'
loop_
_atom_site_label
_atom_site_type_symbol
_atom_site_fract_x
_atom_site_fract_y
_atom_site_fract_z
_atom_site_occupancy
Cu1 Cu 0.4548 0.7500 0.9112 1
Cu2 Cu 0.3584 0.2500 0.7192 1
Cu3 Cu 0.6416 0.7500 0.2808 1
Cu4 Cu 0.5452 0.2500 0.0888 1
Er1 Er 0.2305 0.7500 0.4602 1
Er2 Er 0.7695 0.2500 0.5398 1
Er3 Er 0.0470 0.7500 0.0935 1
Er4 Er 0.9530 0.2500 0.9065 1
Tb1 Tb 0.1423 0.2500 0.2827 1
Tb2 Tb 0.8577 0.7500 0.7173 1
# Space group: P2_1/m
# Excess energy over the best structure of this formula in the dataset (meV/atom): 0
# Raw total energy (eV per atom): -4.5697
# D(E_F) (states/eV/atom): 0.811
# Energy of formation from the pure elements (eV/atom): -0.180

=====

2.
# Sc2NiAgS, relaxed, DFT PBE-GGA
data_Sc2NiAgS
_chemical_formula_sum 'Sc2 Ni1 Ag1 S1'
_cell_length_a 5.1304
_cell_length_b 4.5139
_cell_length_c 5.1304
_cell_angle_alpha 90.00
_cell_angle_beta 90.00
_cell_angle_gamma 90.00
_symmetry_space_group_name_H-M 'P 1'
_symmetry_Int_Tables_number 1
loop_
_symmetry_equiv_pos_as_xyz
'x,y,z'
loop_
_atom_site_label
_atom_site_type_symbol
_atom_site_fract_x
_atom_site_fract_y
_atom_site_fract_z
_atom_site_occupancy
Sc1 Sc 0.5000 0.0000 0.0000 1
Sc2 Sc 0.0000 0.0000 0.5000 1
Ag1 Ag 0.0000 0.0000 0.0000 1
S1 S 0.5000 0.5000 0.5000 1
Ni1 Ni 0.0000 0.5000 0.0000 1
# Space group: P4/mmm
# Formation energy without anion corrections (eV per formula unit): 2.2
# Raw total energy (eV per atom): -4.6537
# D(E_F) (states/eV/atom): 1.089